TaCuRu2 after structural relaxation, computed with PBE-GGA.

Summary:
* formation enthalpy at 0 K: 194 meV/atom
* SG: R3m, No. 160
* total magnetic moment: 0.00 μB/cell

Structure (POSCAR):
```
TaCuRu2
1.0
9.112 -0.004 -0.002
8.695 2.727 -0.002
8.695 1.330 2.381
Cu Ru Ta
1 2 1
direct
0.747 0.747 0.747
0.999 0.999 0.999
0.255 0.255 0.255
0.499 0.499 0.499
```